Entry from the Alexandria database: an optimized crystal structure of TeWSe4 (PBE).

## Properties
**Uncorrected formation energy**: -159 meV/atom
**Excess energy over the best structure of this formula in the dataset**: 0.0 meV/atom
**D(E_F)**: 0.40 states/eV/atom

Cell: 6.258 8.081 7.748 Å, 58.57 78.26 67.03°
Fractional coordinates of all 12 atoms:
Se 0.370 0.188 0.139
Se 0.549 0.754 0.299
Te 0.750 0.413 0.173
Se 0.049 0.053 0.701
W 0.250 0.000 0.000
Te 0.250 0.587 0.827
Se 0.870 0.327 0.861
Se 0.451 0.246 0.701
W 0.750 0.000 0.000
Se 0.630 0.812 0.861
Se 0.951 0.947 0.299
Se 0.130 0.673 0.139